Entry 1:
# Ac2Dy5Y4 | the Alexandria database | PBE | optimized geometry
# - magnetic moment (μB per atom) = 0.000
# - raw total energy (eV/atom) = -5.049
# - DFT formation energy (eV per atom) = 0.141
data_Ac2Dy5Y4
_space_group_name_H-M_alt 'C 1 2/m 1'
_space_group_IT_number 12
_cell_length_a 24.213
_cell_length_b 3.655
_cell_length_c 9.362
_cell_angle_alpha 90.00
_cell_angle_beta 112.11
_cell_angle_gamma 90.00
loop_
_space_group_symop_operation_xyz
'x,y,z'
'-x,-y,-z'
'-x,y,-z'
'x,-y,z'
'x+1/2,y+1/2,z'
'-x+1/2,-y+1/2,-z'
'-x+1/2,y+1/2,-z'
'x+1/2,-y+1/2,z'
loop_
_atom_site_label
_atom_site_type_symbol
_atom_site_fract_x
_atom_site_fract_y
_atom_site_fract_z
Ac1 Ac 0.111 0.000 0.422
Dy1 Dy 0.000 0.500 0.000
Dy2 Dy 0.133 0.000 0.071
Dy3 Dy 0.233 0.500 0.338
Y1 Y 0.046 0.000 0.714
Y2 Y 0.186 0.500 0.840

=====

Entry 2:
# Na2PdSe3 | the Alexandria database | PBE | optimized geometry
# - magnetic moment (μB per atom) = 0.000
# - raw total energy (eV/atom) = -3.666
# - E_form (uncorrected) (eV/f.u.) = -3.7
data_Na2PdSe3
_space_group_name_H-M_alt 'C 1 2/c 1'
_space_group_IT_number 15
_cell_length_a 9.463
_cell_length_b 9.326
_cell_length_c 8.035
_cell_angle_alpha 90.00
_cell_angle_beta 120.59
_cell_angle_gamma 90.00
loop_
_space_group_symop_operation_xyz
'x,y,z'
'-x,-y,-z'
'-x,y,-z+1/2'
'x,-y,z+1/2'
'x+1/2,y+1/2,z'
'-x+1/2,-y+1/2,-z'
'-x+1/2,y+1/2,-z+1/2'
'x+1/2,-y+1/2,z+1/2'
loop_
_atom_site_label
_atom_site_type_symbol
_atom_site_fract_x
_atom_site_fract_y
_atom_site_fract_z
Na1 Na 0.058 0.219 0.060
Pd1 Pd 0.000 0.493 0.250
Se1 Se 0.000 0.032 0.750
Se2 Se 0.184 0.470 0.609

=====

Entry 3:
# TbPmCuSn | the Alexandria database | PBE | optimized geometry
# - magnetic moment (μB per atom) = 0.000
# - raw total energy (eV/atom) = -4.798
# - DFT formation energy (eV per atom) = -0.428
data_TbPmCuSn
_space_group_name_H-M_alt 'F -4 3 m'
_space_group_IT_number 216
_space_group_name_Hall 'F -4 2 3'
_cell_length_a 7.391
_cell_length_b 7.391
_cell_length_c 7.391
_cell_angle_alpha 90.00
_cell_angle_beta 90.00
_cell_angle_gamma 90.00
loop_
_atom_site_label
_atom_site_type_symbol
_atom_site_fract_x
_atom_site_fract_y
_atom_site_fract_z
Tb1 Tb 0.000 0.000 0.000
Pm1 Pm 0.000 0.000 0.500
Cu1 Cu 0.250 0.250 0.750
Sn1 Sn 0.250 0.250 0.250

=====

Entry 4:
# NaCa4In3 | the Alexandria database | PBE | optimized geometry
# - magnetic moment (μB per atom) = 0.000
# - raw total energy (eV/atom) = -2.555
# - DFT formation energy (eV per atom) = -0.362
data_NaCa4In3
_space_group_name_H-M_alt 'R -3 m'
_space_group_IT_number 166
_space_group_name_Hall '-R 3 2"'
_cell_length_a 5.5328
_cell_length_b 5.5328
_cell_length_c 27.1035
_cell_angle_alpha 90.00
_cell_angle_beta 90.00
_cell_angle_gamma 120.00
loop_
_atom_site_label
_atom_site_type_symbol
_atom_site_fract_x
_atom_site_fract_y
_atom_site_fract_z
Na1 Na 0.0000 0.0000 0.0000
Ca1 Ca 0.0000 0.0000 0.1288
Ca2 Ca 0.0000 0.0000 0.3792
In1 In 0.0000 0.0000 0.2538
In2 In 0.0000 0.0000 0.5000

=====

Entry 5:
# AuI2 | the Alexandria database | PBE | optimized geometry
# - magnetic moment (μB per atom) = 0.000
# - raw total energy (eV/atom) = -2.147
# - E_form (uncorrected) (eV/f.u.) = -0.1
data_AuI2
_space_group_name_H-M_alt 'P -1'
_space_group_IT_number 2
_cell_length_a 4.841
_cell_length_b 7.144
_cell_length_c 7.858
_cell_angle_alpha 75.65
_cell_angle_beta 89.59
_cell_angle_gamma 70.31
loop_
_space_group_symop_operation_xyz
'x,y,z'
'-x,-y,-z'
loop_
_atom_site_label
_atom_site_type_symbol
_atom_site_fract_x
_atom_site_fract_y
_atom_site_fract_z
Au1 Au 0.000 0.000 0.000
Au2 Au 0.000 0.000 0.500
I1 I 0.018 0.711 0.333
I2 I 0.271 0.712 0.832

=====

Entry 6:
# Cd2Co2Bi | the Alexandria database | PBE | optimized geometry
# - magnetic moment (μB per atom) = 0.437
# - energy above the lowest structure with this stoichiometry (eV/atom) = 0.0040
# - raw total energy (eV/atom) = -3.656
# - DFT formation energy (eV per atom) = 0.329
data_Cd2Co2Bi
_space_group_name_H-M_alt 'P 4/m b m'
_space_group_IT_number 127
_space_group_name_Hall '-P 4 2ab'
_cell_length_a 6.629
_cell_length_b 6.629
_cell_length_c 4.240
_cell_angle_alpha 90.00
_cell_angle_beta 90.00
_cell_angle_gamma 90.00
loop_
_atom_site_label
_atom_site_type_symbol
_atom_site_fract_x
_atom_site_fract_y
_atom_site_fract_z
Cd1 Cd 0.159 0.341 0.000
Co1 Co 0.127 0.627 0.500
Bi1 Bi 0.000 0.000 0.500

=====

Entry 7:
# Pm5Au2 | the Alexandria database | PBE | optimized geometry
# - magnetic moment (μB per atom) = 0.000
# - raw total energy (eV/atom) = -4.782
# - DFT formation energy (eV per atom) = -0.452
data_Pm5Au2
_space_group_name_H-M_alt 'C 1 2/c 1'
_space_group_IT_number 15
_cell_length_a 17.229
_cell_length_b 6.983
_cell_length_c 7.145
_cell_angle_alpha 90.00
_cell_angle_beta 95.45
_cell_angle_gamma 90.00
loop_
_space_group_symop_operation_xyz
'x,y,z'
'-x,-y,-z'
'-x,y,-z+1/2'
'x,-y,z+1/2'
'x+1/2,y+1/2,z'
'-x+1/2,-y+1/2,-z'
'-x+1/2,y+1/2,-z+1/2'
'x+1/2,-y+1/2,z+1/2'
loop_
_atom_site_label
_atom_site_type_symbol
_atom_site_fract_x
_atom_site_fract_y
_atom_site_fract_z
Pm1 Pm 0.000 0.053 0.250
Pm2 Pm 0.093 0.384 0.950
Pm3 Pm 0.223 0.063 0.293
Au1 Au 0.112 0.208 0.562

=====

Entry 8:
# Na5Tl2Hg3 | the Alexandria database | PBE | optimized geometry
# - magnetic moment (μB per atom) = 0.000
# - raw total energy (eV/atom) = -1.382
# - DFT formation energy (eV per atom) = -0.159
data_Na5Tl2Hg3
_space_group_name_H-M_alt 'C 1 2/c 1'
_space_group_IT_number 15
_cell_length_a 11.668
_cell_length_b 15.506
_cell_length_c 6.182
_cell_angle_alpha 90.00
_cell_angle_beta 91.15
_cell_angle_gamma 90.00
loop_
_space_group_symop_operation_xyz
'x,y,z'
'-x,-y,-z'
'-x,y,-z+1/2'
'x,-y,z+1/2'
'x+1/2,y+1/2,z'
'-x+1/2,-y+1/2,-z'
'-x+1/2,y+1/2,-z+1/2'
'x+1/2,-y+1/2,z+1/2'
loop_
_atom_site_label
_atom_site_type_symbol
_atom_site_fract_x
_atom_site_fract_y
_atom_site_fract_z
Na1 Na 0.000 0.047 0.250
Na2 Na 0.125 0.338 0.941
Na3 Na 0.231 0.445 0.499
Tl1 Tl 0.118 0.241 0.412
Hg1 Hg 0.000 0.489 0.250
Hg2 Hg 0.123 0.132 0.876

=====

Entry 9:
# YN2O2 | the Alexandria database | PBE | optimized geometry
# - magnetic moment (μB per atom) = 0.113
# - energy above the lowest structure with this stoichiometry (eV/atom) = 0.5319
# - raw total energy (eV/atom) = -6.069
# - E_form (uncorrected) (eV/f.u.) = 2.7
data_YN2O2
_space_group_name_H-M_alt 'P 4/m m m'
_space_group_IT_number 123
_space_group_name_Hall '-P 4 2'
_cell_length_a 3.636
_cell_length_b 3.636
_cell_length_c 3.826
_cell_angle_alpha 90.00
_cell_angle_beta 90.00
_cell_angle_gamma 90.00
loop_
_atom_site_label
_atom_site_type_symbol
_atom_site_fract_x
_atom_site_fract_y
_atom_site_fract_z
Y1 Y 0.000 0.000 0.000
N1 N 0.000 0.500 0.500
O1 O 0.500 0.500 0.000
O2 O 0.500 0.500 0.500

=====

Entry 10:
# Rb2SrCuAg | the Alexandria database | PBE | optimized geometry
# - magnetic moment (μB per atom) = 0.000
# - raw total energy (eV/atom) = -1.672
# - DFT formation energy (eV per atom) = 0.441
data_Rb2SrCuAg
_space_group_name_H-M_alt 'P 4/m m m'
_space_group_IT_number 123
_space_group_name_Hall '-P 4 2'
_cell_length_a 6.499
_cell_length_b 6.499
_cell_length_c 6.315
_cell_angle_alpha 90.00
_cell_angle_beta 90.00
_cell_angle_gamma 90.00
loop_
_atom_site_label
_atom_site_type_symbol
_atom_site_fract_x
_atom_site_fract_y
_atom_site_fract_z
Rb1 Rb 0.000 0.500 0.000
Sr1 Sr 0.000 0.000 0.500
Cu1 Cu 0.500 0.500 0.500
Ag1 Ag 0.000 0.000 0.000

=====

Entry 11:
# Ce2Zn2In3 | the Alexandria database | PBE | optimized geometry
# - magnetic moment (μB per atom) = 0.223
# - energy above the lowest structure with this stoichiometry (eV/atom) = 0.0000
# - raw total energy (eV/atom) = -3.513
# - DFT formation energy (eV per atom) = -0.280
data_Ce2Zn2In3
_space_group_name_H-M_alt 'C m c m'
_space_group_IT_number 63
_space_group_name_Hall '-C 2c 2'
_cell_length_a 4.702
_cell_length_b 20.183
_cell_length_c 7.300
_cell_angle_alpha 90.00
_cell_angle_beta 90.00
_cell_angle_gamma 90.00
loop_
_atom_site_label
_atom_site_type_symbol
_atom_site_fract_x
_atom_site_fract_y
_atom_site_fract_z
Ce1 Ce 0.000 0.043 0.250
Ce2 Ce 0.000 0.162 0.750
Zn1 Zn 0.000 0.310 0.562
In1 In 0.000 0.219 0.250
In2 In 0.000 0.434 0.058

=====

Entry 12:
# HoTmIn2S6 | the Alexandria database | PBE | optimized geometry
# - magnetic moment (μB per atom) = 0.000
# - raw total energy (eV/atom) = -5.192
# - E_form (uncorrected) (eV/f.u.) = -12.6
data_HoTmIn2S6
_space_group_name_H-M_alt 'R 3'
_space_group_IT_number 146
_space_group_name_Hall 'R 3'
_cell_length_a 6.7668
_cell_length_b 6.7668
_cell_length_c 18.1649
_cell_angle_alpha 90.00
_cell_angle_beta 90.00
_cell_angle_gamma 120.00
loop_
_atom_site_label
_atom_site_type_symbol
_atom_site_fract_x
_atom_site_fract_y
_atom_site_fract_z
Ho1 Ho 0.0000 0.0000 0.0000
Tm1 Tm 0.0000 0.0000 0.4989
In1 In 0.0000 0.0000 0.2936
In2 In 0.0000 0.0000 0.7946
S1 S 0.0071 0.3058 0.8989
S2 S 0.0102 0.7052 0.3993

=====

Entry 13:
# Cr2RuCl | the Alexandria database | PBE | optimized geometry
# - magnetic moment (μB per atom) = 0.000
# - energy above the lowest structure with this stoichiometry (eV/atom) = 0.4328
# - raw total energy (eV/atom) = -6.961
# - E_form (uncorrected) (eV/f.u.) = 2.5
data_Cr2RuCl
_space_group_name_H-M_alt 'I m m m'
_space_group_IT_number 71
_space_group_name_Hall '-I 2 2'
_cell_length_a 2.794
_cell_length_b 4.244
_cell_length_c 8.500
_cell_angle_alpha 90.00
_cell_angle_beta 90.00
_cell_angle_gamma 90.00
loop_
_atom_site_label
_atom_site_type_symbol
_atom_site_fract_x
_atom_site_fract_y
_atom_site_fract_z
Cr1 Cr 0.000 0.000 0.227
Ru1 Ru 0.000 0.500 0.000
Cl1 Cl 0.000 0.500 0.500

=====

Entry 14:
# Ac4TbNd8 | the Alexandria database | PBE | optimized geometry
# - magnetic moment (μB per atom) = 0.000
# - raw total energy (eV/atom) = -4.044
# - DFT formation energy (eV per atom) = 0.510
data_Ac4TbNd8
_space_group_name_H-M_alt 'P m -3 m'
_space_group_IT_number 221
_space_group_name_Hall '-P 4 2 3'
_cell_length_a 8.205
_cell_length_b 8.205
_cell_length_c 8.205
_cell_angle_alpha 90.00
_cell_angle_beta 90.00
_cell_angle_gamma 90.00
loop_
_atom_site_label
_atom_site_type_symbol
_atom_site_fract_x
_atom_site_fract_y
_atom_site_fract_z
Ac1 Ac 0.000 0.000 0.000
Ac2 Ac 0.000 0.500 0.500
Tb1 Tb 0.500 0.500 0.500
Nd1 Nd 0.242 0.242 0.242

=====

Entry 15:
# InRh2Br | the Alexandria database | PBE | optimized geometry
# - magnetic moment (μB per atom) = 0.000
# - energy above the lowest structure with this stoichiometry (eV/atom) = 0.3073
# - raw total energy (eV/atom) = -4.461
# - E_form (uncorrected) (eV/f.u.) = 1.3
data_InRh2Br
_space_group_name_H-M_alt 'I -4 2 d'
_space_group_IT_number 122
_space_group_name_Hall 'I -4 2bw'
_cell_length_a 4.470
_cell_length_b 4.470
_cell_length_c 16.377
_cell_angle_alpha 90.00
_cell_angle_beta 90.00
_cell_angle_gamma 90.00
loop_
_atom_site_label
_atom_site_type_symbol
_atom_site_fract_x
_atom_site_fract_y
_atom_site_fract_z
In1 In 0.000 0.000 0.000
Rh1 Rh 0.194 0.250 0.625
Br1 Br 0.000 0.000 0.500

=====

Entry 16:
# Tl4Sb | the Alexandria database | PBE | optimized geometry
# - magnetic moment (μB per atom) = 0.000
# - energy above the lowest structure with this stoichiometry (eV/atom) = 0.2027
# - raw total energy (eV/atom) = -2.514
# - E_form (uncorrected) (eV/f.u.) = 1.0
data_Tl4Sb
_space_group_name_H-M_alt 'I m -3 m'
_space_group_IT_number 229
_space_group_name_Hall '-I 4 2 3'
_cell_length_a 7.318
_cell_length_b 7.318
_cell_length_c 7.318
_cell_angle_alpha 90.00
_cell_angle_beta 90.00
_cell_angle_gamma 90.00
loop_
_atom_site_label
_atom_site_type_symbol
_atom_site_fract_x
_atom_site_fract_y
_atom_site_fract_z
Tl1 Tl 0.250 0.250 0.250
Sb1 Sb 0.000 0.000 0.000

=====

Entry 17:
# Cs2PtBr7 | the Alexandria database | PBE | optimized geometry
# - magnetic moment (μB per atom) = 0.000
# - raw total energy (eV/atom) = -2.810
# - E_form (uncorrected) (eV/f.u.) = -8.6
data_Cs2PtBr7
_space_group_name_H-M_alt 'I 4/m m m'
_space_group_IT_number 139
_space_group_name_Hall '-I 4 2'
_cell_length_a 7.800
_cell_length_b 7.800
_cell_length_c 11.932
_cell_angle_alpha 90.00
_cell_angle_beta 90.00
_cell_angle_gamma 90.00
loop_
_atom_site_label
_atom_site_type_symbol
_atom_site_fract_x
_atom_site_fract_y
_atom_site_fract_z
Cs1 Cs 0.000 0.500 0.250
Pt1 Pt 0.000 0.000 0.000
Br1 Br 0.000 0.000 0.209
Br2 Br 0.000 0.000 0.500
Br3 Br 0.231 0.231 0.000

=====

Entry 18:
# BaMg2In2 | the Alexandria database | PBE | optimized geometry
# - magnetic moment (μB per atom) = 0.000
# - raw total energy (eV/atom) = -2.312
# - DFT formation energy (eV per atom) = -0.195
data_BaMg2In2
_space_group_name_H-M_alt 'P 4/m b m'
_space_group_IT_number 127
_space_group_name_Hall '-P 4 2ab'
_cell_length_a 9.112
_cell_length_b 9.112
_cell_length_c 3.331
_cell_angle_alpha 90.00
_cell_angle_beta 90.00
_cell_angle_gamma 90.00
loop_
_atom_site_label
_atom_site_type_symbol
_atom_site_fract_x
_atom_site_fract_y
_atom_site_fract_z
Ba1 Ba 0.000 0.000 0.000
Mg1 Mg 0.124 0.376 0.000
In1 In 0.167 0.667 0.500

=====

Entry 19:
# KAc2CdO5 | the Alexandria database | PBE | optimized geometry
# - magnetic moment (μB per atom) = 0.111
# - raw total energy (eV/atom) = -6.103
# - E_form (uncorrected) (eV/f.u.) = -19.9
data_KAc2CdO5
_space_group_name_H-M_alt 'I 4/m c m'
_space_group_IT_number 140
_space_group_name_Hall '-I 4 2c'
_cell_length_a 7.256
_cell_length_b 7.256
_cell_length_c 12.589
_cell_angle_alpha 90.00
_cell_angle_beta 90.00
_cell_angle_gamma 90.00
loop_
_atom_site_label
_atom_site_type_symbol
_atom_site_fract_x
_atom_site_fract_y
_atom_site_fract_z
K1 K 0.000 0.000 0.250
Ac1 Ac 0.174 0.326 0.000
Cd1 Cd 0.000 0.500 0.250
O1 O 0.000 0.000 0.000
O2 O 0.141 0.359 0.380

=====

Entry 20:
# SrScS2 | the Alexandria database | PBE | optimized geometry
# - magnetic moment (μB per atom) = 0.000
# - energy above the lowest structure with this stoichiometry (eV/atom) = 0.0000
# - raw total energy (eV/atom) = -6.001
# - E_form (uncorrected) (eV/f.u.) = -7.7
data_SrScS2
_space_group_name_H-M_alt 'C 1 2/m 1'
_space_group_IT_number 12
_cell_length_a 6.774
_cell_length_b 3.911
_cell_length_c 6.999
_cell_angle_alpha 90.00
_cell_angle_beta 108.75
_cell_angle_gamma 90.00
loop_
_space_group_symop_operation_xyz
'x,y,z'
'-x,-y,-z'
'-x,y,-z'
'x,-y,z'
'x+1/2,y+1/2,z'
'-x+1/2,-y+1/2,-z'
'-x+1/2,y+1/2,-z'
'x+1/2,-y+1/2,z'
loop_
_atom_site_label
_atom_site_type_symbol
_atom_site_fract_x
_atom_site_fract_y
_atom_site_fract_z
Sr1 Sr 0.000 0.000 0.000
Sc1 Sc 0.000 0.500 0.500
S1 S 0.239 0.000 0.716